Record 1
Entry from Alexandria: crystalline Er2AlCrS6 at its relaxed geometry (PBE).

abc: 6.741 6.741 6.741
angles: 57.69 57.69 57.69
Atoms (fractional coordinates):
Er: 0.000 0.000 0.000
Er: 0.497 0.497 0.497
Al: 0.206 0.206 0.206
Cr: 0.702 0.702 0.702
S: 0.060 0.840 0.437
S: 0.337 0.565 0.933
S: 0.437 0.060 0.840
S: 0.565 0.933 0.337
S: 0.840 0.437 0.060
S: 0.933 0.337 0.565

Summary:
**E**: -61.03 eV per formula unit
**E_form (uncorrected)**: -1377 meV/atom
**Size of the total moment**: 3.00 μB/cell

***

Record 2
Entry from Alexandria: crystalline ErTmAlCr at its relaxed geometry (PBE).

abc: 5.038 5.038 5.038
angles: 60.00 60.00 60.00
Atoms (fractional coordinates):
Er: 0.000 0.000 0.000
Tm: 0.500 0.500 0.500
Al: 0.750 0.750 0.750
Cr: 0.250 0.250 0.250

Summary:
**E**: -22.55 eV per formula unit
**Energy of formation from the pure elements**: -0.87 kcal/mol of atoms
**Size of the total moment**: 3.83 μB/cell

***

Record 3
Entry from Alexandria: crystalline YErAlCr at its relaxed geometry (PBE).

abc: 5.084 5.084 5.084
angles: 60.00 60.00 60.00
Atoms (fractional coordinates):
Y: 0.000 0.000 0.000
Er: 0.500 0.500 0.500
Al: 0.250 0.250 0.250
Cr: 0.750 0.750 0.750

Summary:
**E**: -24.53 eV per formula unit
**Energy of formation from the pure elements**: -0.78 kcal/mol of atoms
**Size of the total moment**: 3.89 μB/cell